Below is an optimized crystal structure of InGaW, with properties calculated at the PBE level.

Cell: 4.5223 4.5223 4.5223 Å, 60.00 60.00 60.00°
Atoms (fractional coordinates):
In1 0.0000 0.0000 0.0000
Ga1 0.5000 0.5000 0.5000
W1 0.7500 0.7500 0.7500

Computed properties:
Magnetization = 1.8 Bohr magnetons per cell



Below is an optimized crystal structure of ZnInGa2, with properties calculated at the PBE level.

Cell: 4.8782 4.8782 4.8782 Å, 60.00 60.00 60.00°
Atoms (fractional coordinates):
Zn1 0.0000 0.0000 0.0000
In1 0.7500 0.7500 0.7500
Ga1 0.2500 0.2500 0.2500
Ga2 0.5000 0.5000 0.5000



Below is an optimized crystal structure of Zr2Zn2InGa, with properties calculated at the PBE level.

Cell: 4.4524 4.4524 6.5104 Å, 90.00 90.00 120.00°
Atoms (fractional coordinates):
Zr1 0.0000 0.0000 0.2405
Zr2 0.0000 0.0000 0.7595
Zn1 0.3333 0.6667 0.0000
Zn2 0.6667 0.3333 0.5000
In1 0.3333 0.6667 0.5000
Ga1 0.6667 0.3333 0.0000

Computed properties:
Magnetization = 0.0 Bohr magnetons per cell



Below is an optimized crystal structure of ZrInGa, with properties calculated at the PBE level.

Cell: 4.7365 4.7365 4.7365 Å, 60.00 60.00 60.00°
Atoms (fractional coordinates):
Zr1 0.0000 0.0000 0.0000
In1 0.7500 0.7500 0.7500
Ga1 0.5000 0.5000 0.5000

Computed properties:
Offset from the most stable computed form = 0.165 eV/atom
Magnetization = 0.0 Bohr magnetons per cell



Below is an optimized crystal structure of Zr5In3Ga, with properties calculated at the PBE level.

Cell: 8.7916 8.7916 5.8920 Å, 90.00 90.00 120.00°
Atoms (fractional coordinates):
Zr1 0.0000 0.2639 0.2500
Zr2 0.0000 0.7361 0.7500
Zr3 0.2639 0.0000 0.2500
Zr4 0.2639 0.2639 0.7500
Zr5 0.3333 0.6667 0.0000
Zr6 0.3333 0.6667 0.5000
Zr7 0.6667 0.3333 0.0000
Zr8 0.6667 0.3333 0.5000
Zr9 0.7361 0.0000 0.7500
Zr10 0.7361 0.7361 0.2500
In1 0.0000 0.3849 0.7500
In2 0.0000 0.6151 0.2500
In3 0.3849 0.0000 0.7500
In4 0.3849 0.3849 0.2500
In5 0.6151 0.0000 0.2500
In6 0.6151 0.6151 0.7500
Ga1 0.0000 0.0000 0.0000
Ga2 0.0000 0.0000 0.5000

Computed properties:
Magnetization = 0.1 Bohr magnetons per cell



Below is an optimized crystal structure of ZrInGa, with properties calculated at the PBE level.

Cell: 4.7453 4.7453 4.7453 Å, 60.00 60.00 60.00°
Atoms (fractional coordinates):
Zr1 0.0000 0.0000 0.0000
In1 0.2500 0.2500 0.2500
Ga1 0.7500 0.7500 0.7500

Computed properties:
Offset from the most stable computed form = 0.000 eV/atom
Magnetization = 0.0 Bohr magnetons per cell



Below is an optimized crystal structure of ZrInGa2, with properties calculated at the PBE level.

Cell: 5.4557 5.4557 5.4557 Å, 135.73 135.73 64.39°
Atoms (fractional coordinates):
Zr1 0.0000 0.0000 0.0000
In1 0.5000 0.5000 0.0000
Ga1 0.2500 0.7500 0.5000
Ga2 0.7500 0.2500 0.5000

Computed properties:
Magnetization = 0.0 Bohr magnetons per cell



Below is an optimized crystal structure of Zr2In2Ga, with properties calculated at the PBE level.

Cell: 8.0201 8.0201 8.0201 Å, 150.59 150.59 42.08°
Atoms (fractional coordinates):
Zr1 0.2500 0.7500 0.5000
Zr2 0.7500 0.2500 0.5000
In1 0.0937 0.0937 0.0000
In2 0.9063 0.9063 0.0000
Ga1 0.5000 0.5000 0.0000

Computed properties:
Magnetization = 0.1 Bohr magnetons per cell



| no. | E (eV/cell) |
| --- | --- |
| 1 | -16.039 |
| 2 | -9.670 |
| 3 | -27.490 |
| 4 | -13.396 |
| 5 | -114.823 |
| 6 | -13.891 |
| 7 | -18.474 |
| 8 | -24.173 |